# 1
A geometry-optimized Li2ScTl structure. Source: the Alexandria database, functional PBE.

a = 4.5845 Å, b = 3.8276 Å, c = 4.8189 Å
α = 90.01°, β = 90.00°, γ = 90.00°
Fractional positions:
Li1 0.5000 0.3749 0.1249
Li2 0.0000 0.8750 0.1251
Tl1 0.5000 0.8751 0.6249
Sc1 0.0000 0.3751 0.6251

Properties
E_tot: -3.2529 eV per atom


# 2
A geometry-optimized LiScTl2 structure. Source: the Alexandria database, functional PBE.

a = 9.6823 Å, b = 9.6823 Å, c = 9.6823 Å
α = 20.32°, β = 20.32°, γ = 20.32°
Fractional positions:
Tl1 0.9970 0.9970 0.9970
Tl2 0.5030 0.5030 0.5030
Sc1 0.7500 0.7500 0.7500
Li1 0.2500 0.2500 0.2500

Properties
E_tot: -3.3724 eV per atom
Energy relative to the lowest polymorph listed for this composition: 14.5 kJ/mol of atoms